Entry from OQMD via LeMat-Bulk: a relaxed HoNb2CuGe2 crystal (PBE).

abc: 3.952 3.952 7.394
angles: 90.00 90.00 90.00
Space group P4mm (No. 99)
One atom of each set of equivalent atoms:
Ho1 0.000 0.000 0.000 x1
Nb1 0.000 0.500 0.631 x2
Cu1 0.500 0.500 0.326 x1
Ge1 0.000 0.000 0.373 x1
Ge2 0.500 0.500 0.898 x1

Summary:
The calculation puts the total energy at -6.593 eV/atom. The crystal system is tetragonal. Its volume is 115.5 Å³/cell.

---

Entry from OQMD via LeMat-Bulk: a relaxed ZrAlMo crystal (PBE).

abc: 6.244 6.244 6.244
angles: 90.00 90.00 90.00
Space group F-43m (No. 216)
One atom of each set of equivalent atoms:
Zr1 0.000 0.000 0.000 x4
Al1 0.250 0.250 0.750 x4
Mo1 0.000 0.000 0.500 x4

Summary:
The calculation puts the total energy at -7.332 eV/atom. The crystal system is cubic. Its volume is 243.4 Å³/cell. The value obtained for the energy above the lowest structure with this stoichiometry is 0.676 eV/atom.

---

Entry from OQMD via LeMat-Bulk: a relaxed LiLaCoSe3 crystal (PBE).

abc: 4.079 12.416 11.494
angles: 90.00 90.00 90.00
Space group Cmcm (No. 63)
One atom of each set of equivalent atoms:
Li1 0.000 0.224 0.250 x4
La1 0.000 0.000 0.000 x4
Co1 0.000 0.479 0.750 x4
Se1 0.000 0.088 0.750 x4
Se2 0.000 0.351 0.595 x8

Summary:
The calculation puts the total energy at -5.134 eV/atom. The crystal system is orthorhombic. Its volume is 582.0 Å³/cell.

---

Entry from OQMD via LeMat-Bulk: a relaxed H8IrBr6N2 crystal (PBE).

abc: 10.298 10.298 10.298
angles: 90.00 90.00 90.00
Space group Fm-3m (No. 225)
One atom of each set of equivalent atoms:
H1 0.192 0.192 0.192 x32
Ir1 0.000 0.000 0.500 x4
Br1 0.000 0.000 0.258 x24
N1 0.250 0.250 0.250 x8

Summary:
The calculation puts the total energy at -4.125 eV/atom. The crystal system is cubic. Its volume is 1092.1 Å³/cell.

---

Entry from OQMD via LeMat-Bulk: a relaxed PmNbBi crystal (PBE).

abc: 7.035 7.035 7.035
angles: 90.00 90.00 90.00
Space group F-43m (No. 216)
One atom of each set of equivalent atoms:
Pm1 0.000 0.000 0.000 x4
Nb1 0.000 0.000 0.500 x4
Bi1 0.250 0.250 0.750 x4

Summary:
The calculation puts the total energy at -5.985 eV/atom. The crystal system is cubic. Its volume is 348.1 Å³/cell. The value obtained for the energy above the lowest structure with this stoichiometry is 0.000 eV/atom.

---

Entry from OQMD via LeMat-Bulk: a relaxed PrTlZnS3 crystal (PBE).

abc: 11.371 4.211 12.178
angles: 90.00 90.00 90.00
Space group Pnma (No. 62)
One atom of each set of equivalent atoms:
Pr1 0.023 0.250 0.170 x4
Tl1 0.161 0.250 0.508 x4
Zn1 0.247 0.250 0.798 x4
S1 0.052 0.750 0.329 x4
S2 0.108 0.250 0.941 x4
S3 0.215 0.750 0.702 x4

Summary:
The calculation puts the total energy at -4.653 eV/atom. The crystal system is orthorhombic. Its volume is 583.1 Å³/cell. The value obtained for the energy above the lowest structure with this stoichiometry is 0.000 eV/atom.